[1]
A plane-wave DFT calculation with GGA-PBE was carried out for crystalline Cd4AuC2 at its relaxed geometry.

Cell: 5.672 5.672 10.785 Å, 90.00 90.00 90.00°
Space group I4/mmm (No. 139)
Symmetry-distinct sites (fractional):
Cd: 0.000 0.000 0.242 (multiplicity 4)
Cd: 0.000 0.500 0.000 (multiplicity 4)
Au: 0.000 0.000 0.000 (multiplicity 2)
C: 0.000 0.000 0.442 (multiplicity 4)

Computed properties:
- E: -2.99 eV per atom
- Magnetic moment: 0.0 μB/cell

***

[2]
A plane-wave DFT calculation with GGA-PBE was carried out for crystalline BiSeBrO4 at its relaxed geometry.

Cell: 10.654 7.343 6.884 Å, 90.00 104.59 90.00°
Space group C2/m (No. 12)
Symmetry-distinct sites (fractional):
Bi: 0.217 0.000 0.125 (multiplicity 4)
Se: 0.139 0.500 0.267 (multiplicity 4)
Br: 0.022 0.000 0.756 (multiplicity 4)
O: 0.017 0.500 0.752 (multiplicity 4)
O: 0.188 0.326 0.135 (multiplicity 8)
O: 0.230 0.500 0.501 (multiplicity 4)

Computed properties:
- E_form (uncorrected): -5.378 eV/f.u.
- Magnetic moment: 0.0 μB/cell

***

[3]
A plane-wave DFT calculation with GGA-PBE was carried out for crystalline Li2ErGa4 at its relaxed geometry.

Cell: 3.368 4.341 18.168 Å, 90.00 90.00 90.00°
Space group Immm (No. 71)
Symmetry-distinct sites (fractional):
Li: 0.000 0.000 0.199 (multiplicity 4)
Er: 0.000 0.500 0.000 (multiplicity 2)
Ga: 0.000 0.000 0.349 (multiplicity 4)
Ga: 0.000 0.500 0.427 (multiplicity 4)

Computed properties:
- E: -3.31 eV per atom
- Magnetic moment: 0.0 μB/cell